Li2SnRh, relaxed, DFT PBE-GGA; uncorrected energy = -16.75 eV/cell; energy of formation from the pure elements = -391 meV per atom; SG = P4/mmm, No. 123; M_tot = 0.0 μB per formula unit; V = 63.6 Å³/cell
1.0
-3.803 2.021 -0.167
-1.086 -1.778 3.228
1.445 2.890 2.078
Li Sn Rh
2 1 1
Direct
0.000 0.000 0.500
0.000 0.500 0.000
0.500 0.000 0.000
0.500 0.500 0.500

=====

CuPbBr, relaxed, DFT PBE-GGA; uncorrected energy = -9.74 eV/cell; SG = P3m1, No. 156; formation energy without anion corrections = -0.088 eV per atom; M_tot = 0.0 μB per formula unit; V = 77.2 Å³/cell
1.0
-2.445 -2.841 0.388
1.766 0.530 -3.286
4.663 -3.753 1.900
Pb Br Cu
1 1 1
Direct
0.333 0.667 0.604
0.000 0.000 0.089
0.667 0.333 0.307

=====

ScNbSn3, relaxed, DFT PBE-GGA; uncorrected energy = -26.34 eV/cell; energy of formation from the pure elements = 414 meV per atom; SG = Pm-3m, No. 221; M_tot = 0.0 μB per formula unit; V = 150.1 Å³/cell
1.0
-4.349 -2.118 2.201
2.596 -0.544 4.605
-1.610 4.844 1.480
Sn Nb Sc
3 1 1
Direct
0.500 0.000 0.000
0.000 0.000 0.500
0.000 0.500 0.000
0.000 0.000 0.000
0.500 0.500 0.500

=====

BeTc2Os, relaxed, DFT PBE-GGA; uncorrected energy = -35.11 eV/cell; energy of formation from the pure elements = 145 meV per atom; SG = I-4m2, No. 119; M_tot = 0.0 μB per formula unit; V = 53.6 Å³/cell
1.0
-3.270 -3.466 -0.642
0.801 -2.934 -3.724
2.590 1.639 3.704
Be Os Tc
1 1 2
Direct
0.500 0.500 0.000
0.750 0.250 0.500
0.000 0.000 0.000
0.250 0.750 0.500

=====

MnFeOs2, relaxed, DFT PBE-GGA; uncorrected energy = -39.69 eV/cell; energy of formation from the pure elements = 101 meV per atom; SG = Cm, No. 8; M_tot = 0.2 μB per formula unit; V = 52.1 Å³/cell
1.0
-0.063 -3.827 -2.537
0.165 -4.589 0.031
-4.390 -0.941 0.110
Mn Os Fe
1 2 1
Direct
0.752 0.752 0.739
0.000 0.000 0.003
0.250 0.250 0.251
0.499 0.499 0.507

=====

Dy2GaAg, relaxed, DFT PBE-GGA; uncorrected energy = -16.93 eV/cell; energy of formation from the pure elements = -461 meV per atom; SG = Fm-3m, No. 225; M_tot = 0.0 μB per formula unit; V = 94.5 Å³/cell
1.0
5.112 0.000 0.000
2.556 4.427 0.000
2.556 1.476 4.174
Dy Ga Ag
2 1 1
Direct
0.500 0.500 0.500
0.000 0.000 0.000
0.750 0.750 0.750
0.250 0.250 0.250

=====

K2CuPt, relaxed, DFT PBE-GGA; uncorrected energy = -10.38 eV/cell; energy of formation from the pure elements = 487 meV per atom; SG = Fm-3m, No. 225; M_tot = 0.0 μB per formula unit; V = 111.5 Å³/cell
1.0
0.000 3.820 3.820
3.820 0.000 3.820
3.820 3.820 0.000
Cu K Pt
1 2 1
Direct
0.000 0.000 0.000
0.250 0.250 0.250
0.750 0.750 0.750
0.500 0.500 0.500

=====

YErHgC, relaxed, DFT PBE-GGA; uncorrected energy = -22.12 eV/cell; energy of formation from the pure elements = -393 meV per atom; SG = R3m, No. 160; M_tot = 0.0 μB per formula unit; V = 87.4 Å³/cell
1.0
3.598 0.000 -0.001
-1.798 3.116 0.000
-1.800 -1.039 7.801
Y C Er Hg
1 1 1 1
Direct
0.522 0.159 0.697
0.304 0.550 0.870
0.085 0.940 0.041
0.967 0.381 0.362